Material: ThGa3I7
Method: DFT, PBE
State: optimized geometry

Raw total energy in eV/atom: -3.21

a b c (Å): 13.784 9.597 8.569
angles (deg): 90.00 115.84 90.00
Space group Cm (No. 8)
One atom of each set of equivalent atoms:
Th: 0.000 0.000 0.000 x2
Ga: 0.383 0.000 0.967 x2
Ga: 0.425 0.272 0.438 x4
I: 0.064 0.275 0.223 x4
I: 0.085 0.000 0.711 x2
I: 0.266 0.000 0.211 x2
I: 0.325 0.500 0.156 x2
I: 0.336 0.290 0.740 x4


Material: ThTlGa2I8
Method: DFT, PBE
State: optimized geometry

Raw total energy in eV/atom: -3.06

a b c (Å): 7.286 9.723 7.715
angles (deg): 90.00 90.21 90.00
Space group P2/m (No. 10)
One atom of each set of equivalent atoms:
Th: 0.000 0.000 0.000 x1
Tl: 0.000 0.500 0.000 x1
Ga: 0.500 0.270 0.500 x2
I: 0.248 0.224 0.161 x4
I: 0.249 0.000 0.678 x2
I: 0.286 0.500 0.644 x2


Material: Ti2GaI8
Method: DFT, PBE
State: optimized geometry

Raw total energy in eV/atom: -3.48

a b c (Å): 14.934 10.625 7.483
angles (deg): 90.00 96.81 90.00
Space group C2/m (No. 12)
One atom of each set of equivalent atoms:
Ti: 0.194 0.000 0.145 x4
Ga: 0.000 0.000 0.500 x2
I: 0.109 0.191 0.265 x8
I: 0.139 0.500 0.723 x4
I: 0.184 0.000 0.796 x4


Please write out number 3 again, unchanged.
Material: Ti2GaI8
Method: DFT, PBE
State: optimized geometry

Raw total energy in eV/atom: -3.48

a b c (Å): 14.934 10.625 7.483
angles (deg): 90.00 96.81 90.00
Space group C2/m (No. 12)
One atom of each set of equivalent atoms:
Ti: 0.194 0.000 0.145 x4
Ga: 0.000 0.000 0.500 x2
I: 0.109 0.191 0.265 x8
I: 0.139 0.500 0.723 x4
I: 0.184 0.000 0.796 x4


Which formula does entry 2 have?
ThTlGa2I8